[1]
# La3Dy2HoAs6

A relaxed La3Dy2HoAs6 crystal (PBE, Alexandria).

Output
N(E_F), states/eV per cell: 2.666
Calculated formation energy, eV/atom: -1.543

a = 7.356 Å, b = 12.740 Å, c = 7.346 Å
α = 90.00°, β = 109.49°, γ = 90.00°
Space group C2/m (No. 12)
Symmetry-distinct sites (fractional):
La 0.000 0.000 0.000 x2
La 0.000 0.333 0.000 x4
Dy 0.000 0.167 0.500 x4
Ho 0.000 0.500 0.500 x2
As 0.245 0.334 0.736 x8
As 0.246 0.000 0.736 x4

[2]
# LaDy2HoAs4

A relaxed LaDy2HoAs4 crystal (PBE, Alexandria).

Output
N(E_F), states/eV per cell: 0.867
Calculated formation energy, eV/atom: -1.527

a = 7.238 Å, b = 4.184 Å, c = 7.240 Å
α = 90.00°, β = 109.43°, γ = 90.00°
Space group P2/m (No. 10)
Symmetry-distinct sites (fractional):
La 0.000 0.000 0.000 x1
Dy 0.000 0.500 0.500 x1
Dy 0.500 0.000 0.500 x1
Ho 0.500 0.500 0.000 x1
As 0.255 0.000 0.746 x2
As 0.259 0.500 0.259 x2

[3]
# La2Dy3HoAs6

A relaxed La2Dy3HoAs6 crystal (PBE, Alexandria).

Output
N(E_F), states/eV per cell: 3.420
Calculated formation energy, eV/atom: -1.530

a = 18.318 Å, b = 4.207 Å, c = 8.409 Å
α = 90.00°, β = 103.27°, γ = 90.00°
Space group C2/m (No. 12)
Symmetry-distinct sites (fractional):
La 0.165 0.000 0.331 x4
Dy 0.000 0.500 0.500 x2
Dy 0.167 0.000 0.834 x4
Ho 0.000 0.500 0.000 x2
As 0.004 0.000 0.753 x4
As 0.164 0.500 0.591 x4
As 0.166 0.500 0.073 x4

[4]
# NdDy2HoAs4

A relaxed NdDy2HoAs4 crystal (PBE, Alexandria).

Output
N(E_F), states/eV per cell: 0.851
Calculated formation energy, eV/atom: -1.520

a = 7.193 Å, b = 4.156 Å, c = 7.194 Å
α = 90.00°, β = 109.47°, γ = 90.00°
Space group P2/m (No. 10)
Symmetry-distinct sites (fractional):
Nd 0.000 0.000 0.000 x1
Dy 0.000 0.500 0.500 x1
Dy 0.500 0.000 0.500 x1
Ho 0.500 0.500 0.000 x1
As 0.254 0.000 0.748 x2
As 0.257 0.500 0.256 x2

[5]
# Nd3DyHo2As6

A relaxed Nd3DyHo2As6 crystal (PBE, Alexandria).

Output
N(E_F), states/eV per cell: 3.548
Calculated formation energy, eV/atom: -1.515

a = 7.261 Å, b = 12.573 Å, c = 7.254 Å
α = 90.00°, β = 109.46°, γ = 90.00°
Space group C2/m (No. 12)
Symmetry-distinct sites (fractional):
Nd 0.000 0.000 0.000 x2
Nd 0.000 0.334 0.000 x4
Dy 0.000 0.500 0.500 x2
Ho 0.000 0.167 0.500 x4
As 0.246 0.000 0.740 x4
As 0.247 0.333 0.740 x8

[6]
# NdDyHo2As4

A relaxed NdDyHo2As4 crystal (PBE, Alexandria).

Output
N(E_F), states/eV per cell: 0.883
Calculated formation energy, eV/atom: -1.519

a = 7.184 Å, b = 4.151 Å, c = 7.185 Å
α = 90.00°, β = 109.47°, γ = 90.00°
Space group P2/m (No. 10)
Symmetry-distinct sites (fractional):
Nd 0.000 0.000 0.000 x1
Dy 0.000 0.500 0.500 x1
Ho 0.500 0.000 0.500 x1
Ho 0.500 0.500 0.000 x1
As 0.254 0.000 0.747 x2
As 0.257 0.500 0.257 x2